[1]
## Li2CaIn (GGA-PBE)

Data for a relaxed structure of Li2CaIn.

Cell: 6.051 6.051 3.567 Å, 75.02 75.02 116.60°
Fractional coordinates of all 4 atoms:
Ca1 0.500 0.000 0.500
In1 0.000 0.500 0.500
Li1 0.000 0.000 0.000
Li2 0.500 0.500 0.000

uncorrected energy: -9.005 eV for the cell shown
energy of formation from the pure elements: -0.11 eV per atom

---

[2]
## NiMo2Cl (GGA-PBE)

Data for a relaxed structure of NiMo2Cl.

Cell: 4.369 4.369 5.231 Å, 79.94 79.94 37.22°
Fractional coordinates of all 4 atoms:
Cl1 0.250 0.250 0.250
Mo1 0.005 0.005 0.983
Mo2 0.495 0.495 0.517
Ni1 0.750 0.750 0.750

energy relative to the elements, uncorrected: 0.55 eV/atom
uncorrected energy: -27.107 eV for the cell shown
energy relative to the lowest polymorph listed for this composition: 334.8 meV/atom

---

[3]
## TiV2Hg (GGA-PBE)

Data for a relaxed structure of TiV2Hg.

Cell: 3.812 3.812 9.934 Å, 78.94 78.94 90.00°
Fractional coordinates of all 8 atoms:
V1 0.605 0.125 0.250
V2 0.145 0.625 0.250
V3 0.375 0.395 0.750
V4 0.875 0.855 0.750
Hg1 0.000 0.000 0.000
Hg2 0.750 0.250 0.500
Ti1 0.500 0.500 0.000
Ti2 0.250 0.750 0.500

uncorrected energy: -48.049 eV for the cell shown
energy of formation from the pure elements: 0.60 eV per atom

---

[4]
## Sr2La6TiCu3O16 (GGA-PBE)

Data for a relaxed structure of Sr2La6TiCu3O16.

Cell: 7.104 7.104 10.852 Å, 90.00 90.00 135.04°
Fractional coordinates of all 28 atoms:
Sr1 0.144 0.856 0.000
Sr2 0.856 0.144 0.000
La1 0.640 0.360 0.743
La2 0.360 0.640 0.257
La3 0.640 0.360 0.257
La4 0.139 0.861 0.500
La5 0.861 0.139 0.500
La6 0.360 0.640 0.743
Ti1 0.500 0.500 0.000
Cu1 0.000 0.000 0.751
Cu2 0.000 0.000 0.249
Cu3 0.500 0.500 0.500
O1 0.813 0.187 0.739
O2 0.255 0.255 0.873
O3 0.745 0.745 0.873
O4 0.341 0.659 0.000
O5 0.659 0.341 0.000
O6 0.255 0.255 0.127
O7 0.745 0.745 0.127
O8 0.187 0.813 0.261
O9 0.813 0.187 0.261
O10 0.248 0.248 0.375
O11 0.752 0.752 0.375
O12 0.317 0.683 0.500
O13 0.683 0.317 0.500
O14 0.248 0.248 0.625
O15 0.752 0.752 0.625
O16 0.187 0.813 0.739

energy relative to the elements, uncorrected: -2.69 eV/atom
uncorrected energy: -207.658 eV for the cell shown

---

[5]
## KTa2Si (GGA-PBE)

Data for a relaxed structure of KTa2Si.

Cell: 3.118 3.118 9.496 Å, 90.00 90.00 90.00°
Fractional coordinates of all 4 atoms:
K1 0.500 0.500 0.250
Si1 0.500 0.500 0.750
Ta1 0.000 0.000 0.904
Ta2 0.000 0.000 0.596

energy relative to the elements, uncorrected: 0.59 eV/atom
uncorrected energy: -27.885 eV for the cell shown

---

[6]
## Pm5Ge2N2 (GGA-PBE)

Data for a relaxed structure of Pm5Ge2N2.

Cell: 4.807 4.807 9.433 Å, 90.00 90.00 90.00°
Fractional coordinates of all 9 atoms:
Pm1 0.500 0.000 0.207
Pm2 0.500 0.000 0.793
Pm3 0.500 0.500 0.500
Pm4 0.000 0.500 0.207
Pm5 0.000 0.500 0.793
Ge1 0.000 0.000 0.000
Ge2 0.000 0.000 0.500
N1 0.500 0.500 0.250
N2 0.500 0.500 0.750

energy relative to the elements, uncorrected: -0.95 eV/atom
uncorrected energy: -58.196 eV for the cell shown

---

[7]
## Li3Ca4Au (GGA-PBE)

Data for a relaxed structure of Li3Ca4Au.

Cell: 3.828 3.828 15.768 Å, 90.00 90.00 90.00°
Fractional coordinates of all 8 atoms:
Ca1 0.000 0.000 0.893
Ca2 0.000 0.000 0.107
Ca3 0.000 0.000 0.370
Ca4 0.000 0.000 0.630
Au1 0.500 0.500 0.000
Li1 0.500 0.500 0.239
Li2 0.500 0.500 0.500
Li3 0.500 0.500 0.761

uncorrected energy: -18.608 eV for the cell shown
energy of formation from the pure elements: -0.20 eV per atom

---

[8]
## ZrCdAgCl2 (GGA-PBE)

Data for a relaxed structure of ZrCdAgCl2.

Cell: 4.906 6.242 4.906 Å, 90.00 90.00 90.00°
Fractional coordinates of all 5 atoms:
Cl1 0.000 0.000 0.500
Cl2 0.500 0.000 0.000
Zr1 0.000 0.000 0.000
Ag1 0.500 0.500 0.500
Cd1 0.000 0.500 0.000

energy relative to the elements, uncorrected: -0.31 eV/atom
uncorrected energy: -17.572 eV for the cell shown

---

[9]
## Tb5TmSc2 (GGA-PBE)

Data for a relaxed structure of Tb5TmSc2.

Cell: 8.810 8.810 8.790 Å, 120.07 120.07 90.00°
Fractional coordinates of all 16 atoms:
Tb1 0.492 0.690 0.682
Tb2 0.810 0.008 0.318
Tb3 0.000 0.000 0.000
Tb4 0.500 0.500 0.000
Tb5 0.190 0.992 0.682
Tb6 0.690 0.190 0.682
Tb7 0.993 0.493 0.682
Tb8 0.310 0.810 0.318
Tb9 0.007 0.507 0.318
Tb10 0.507 0.310 0.318
Tm1 0.750 0.750 0.500
Tm2 0.250 0.250 0.500
Sc1 0.143 0.357 0.000
Sc2 0.643 0.143 0.000
Sc3 0.357 0.857 0.000
Sc4 0.857 0.643 0.000

uncorrected energy: -78.813 eV for the cell shown
energy relative to the lowest polymorph listed for this composition: 82.6 meV/atom
energy of formation from the pure elements: 0.11 eV per atom

---

[10]
## LaPm3DyTh (GGA-PBE)

Data for a relaxed structure of LaPm3DyTh.

Cell: 5.137 8.150 10.903 Å, 116.41 90.00 90.00°
Fractional coordinates of all 12 atoms:
La1 0.250 0.120 0.292
La2 0.750 0.880 0.708
Pm1 0.750 0.863 0.044
Pm2 0.250 0.137 0.956
Pm3 0.250 0.627 0.454
Pm4 0.750 0.373 0.546
Pm5 0.750 0.385 0.204
Pm6 0.250 0.615 0.796
Dy1 0.250 0.129 0.629
Dy2 0.750 0.871 0.371
Th1 0.250 0.621 0.122
Th2 0.750 0.379 0.878

uncorrected energy: -61.987 eV for the cell shown
energy of formation from the pure elements: 0.03 eV per atom

---

[11]
## Pm5Dy6Mg (GGA-PBE)

Data for a relaxed structure of Pm5Dy6Mg.

Cell: 5.061 10.096 9.408 Å, 122.43 105.59 90.00°
Fractional coordinates of all 12 atoms:
Mg1 0.000 0.000 0.000
Pm1 0.667 0.167 0.335
Pm2 0.334 0.334 0.668
Pm3 0.000 0.500 0.000
Pm4 0.666 0.666 0.332
Pm5 0.333 0.833 0.665
Dy1 0.833 0.586 0.667
Dy2 0.834 0.081 0.667
Dy3 0.500 0.751 0.000
Dy4 0.500 0.249 0.000
Dy5 0.166 0.919 0.333
Dy6 0.167 0.414 0.333

uncorrected energy: -52.691 eV for the cell shown
energy of formation from the pure elements: 0.02 eV per atom

---

[12]
## CoRu3Pt (GGA-PBE)

Data for a relaxed structure of CoRu3Pt.

Cell: 4.346 4.346 4.346 Å, 90.00 90.00 90.00°
Fractional coordinates of all 5 atoms:
Ru1 0.000 0.500 0.000
Ru2 0.000 0.000 0.500
Ru3 0.500 0.000 0.000
Co1 0.000 0.000 0.000
Pt1 0.500 0.500 0.500

uncorrected energy: -33.908 eV for the cell shown
energy relative to the lowest polymorph listed for this composition: 0.0 meV/atom
energy of formation from the pure elements: 1.41 eV per atom

---

[13]
## SrTlClO (GGA-PBE)

Data for a relaxed structure of SrTlClO.

Cell: 4.010 4.010 7.788 Å, 89.94 89.96 60.00°
Fractional coordinates of all 4 atoms:
Sr1 0.021 0.983 0.149
Tl1 0.355 0.316 0.729
Cl1 0.688 0.649 0.395
O1 0.355 0.317 0.024

energy relative to the elements, uncorrected: -1.79 eV/atom
uncorrected energy: -18.003 eV for the cell shown

---

[14]
## CaMgPb2 (GGA-PBE)

Data for a relaxed structure of CaMgPb2.

Cell: 3.945 3.945 7.277 Å, 90.00 90.00 89.99°
Fractional coordinates of all 4 atoms:
Pb1 0.000 0.000 0.975
Pb2 0.000 0.000 0.525
Ca1 0.500 0.500 0.250
Mg1 0.500 0.500 0.750

uncorrected energy: -12.118 eV for the cell shown
energy of formation from the pure elements: -0.28 eV per atom

---

[15]
## Mn4VZn10 (GGA-PBE)

Data for a relaxed structure of Mn4VZn10.

Cell: 7.385 6.925 7.863 Å, 39.23 61.99 57.78°
Fractional coordinates of all 15 atoms:
Mn1 0.402 0.803 0.394
Mn2 0.807 0.585 0.802
Mn3 0.193 0.415 0.198
Mn4 0.598 0.197 0.606
V1 0.000 0.000 0.000
Zn1 0.170 0.500 0.500
Zn2 0.564 0.303 0.901
Zn3 0.965 0.103 0.301
Zn4 0.368 0.897 0.699
Zn5 0.767 0.697 0.099
Zn6 0.436 0.697 0.099
Zn7 0.830 0.500 0.500
Zn8 0.233 0.303 0.901
Zn9 0.632 0.103 0.301
Zn10 0.035 0.897 0.699

uncorrected energy: -57.961 eV for the cell shown
energy of formation from the pure elements: 0.04 eV per atom

---

[16]
## Pm10Ho4Tm (GGA-PBE)

Data for a relaxed structure of Pm10Ho4Tm.

Cell: 7.750 9.507 9.507 Å, 80.44 65.95 65.95°
Fractional coordinates of all 15 atoms:
Pm1 0.250 0.500 0.500
Pm2 0.651 0.299 0.899
Pm3 0.050 0.101 0.299
Pm4 0.449 0.899 0.701
Pm5 0.850 0.701 0.101
Pm6 0.349 0.701 0.101
Pm7 0.750 0.500 0.500
Pm8 0.150 0.299 0.899
Pm9 0.551 0.101 0.299
Pm10 0.950 0.899 0.701
Ho1 0.400 0.801 0.400
Ho2 0.800 0.600 0.801
Ho3 0.200 0.400 0.199
Ho4 0.600 0.199 0.600
Tm1 0.000 0.000 0.000

uncorrected energy: -59.828 eV for the cell shown
energy of formation from the pure elements: 0.70 eV per atom

---

[17]
## RbMg2InPd (GGA-PBE)

Data for a relaxed structure of RbMg2InPd.

Cell: 5.254 5.254 5.260 Å, 90.00 90.00 90.00°
Fractional coordinates of all 5 atoms:
Mg1 0.000 0.500 0.000
Mg2 0.500 0.000 0.000
Rb1 0.500 0.500 0.500
Pd1 0.000 0.000 0.000
In1 0.000 0.000 0.500

uncorrected energy: -13.122 eV for the cell shown
energy of formation from the pure elements: -0.21 eV per atom